(1)
DFT (PBE-GGA) results for a relaxed structure of CsFe2AgCl8.

```
CsFe2AgCl8
1.0
6.5261 -0.3810 0.2900
2.6725 5.9660 0.2900
0.9628 0.5846 10.0367
Cl Fe Cs Ag
8 2 1 1
Cartesian
6.4365 1.8033 8.2761
5.5923 1.2907 2.3406
3.5020 2.1263 6.2225
3.2337 1.9634 9.9200
3.7249 4.3663 2.3406
4.5691 4.8789 8.2761
6.6594 4.0433 4.3942
6.9277 4.2062 0.6967
4.3838 2.6617 8.1745
5.7776 3.5079 2.4422
0.4814 0.2923 5.0184
0.0000 0.0000 0.0000
```

Computed properties:
**Raw total energy**: -3.92 eV/atom
**Crystal system**: monoclinic
**Total magnetic moment**: 10.0 μB per formula unit
**SG**: C2/m, No. 12



(2)
DFT (PBE-GGA) results for a relaxed structure of Sr2CdRh.

```
Sr2CdRh
1.0
-0.2833 4.4016 4.0097
1.5752 -1.7736 5.4686
2.4973 -0.5211 -5.3874
Cd Sr Rh
1 2 1
Cartesian
0.6459 1.3140 4.7391
2.3592 -0.4904 2.4102
0.0000 0.0000 0.0000
1.4300 2.5973 1.6807
```

Computed properties:
**Raw total energy**: -2.95 eV/atom
**Crystal system**: tetragonal
**D(E_F)**: 0.581 states/eV/atom
**Total magnetic moment**: 0.0 μB per formula unit
**ΔH_f (0 K)**: -0.04 eV per atom
**SG**: I-4m2, No. 119



(3)
DFT (PBE-GGA) results for a relaxed structure of SrAl2.

```
SrAl2
1.0
17.8072 -0.0680 0.0000
16.7589 6.0199 0.0000
-17.2831 -2.9760 3.0888
Al Sr
8 4
Cartesian
10.5554 0.2504 1.5444
8.6529 1.4899 0.0000
15.6313 2.6915 0.0000
7.2518 -0.3184 1.5444
18.9349 3.2604 0.0000
17.5338 1.4520 1.5444
0.2734 -1.5200 1.5444
25.9133 4.4620 0.0000
31.9517 5.5018 0.0000
5.7651 2.5598 1.5444
2.6144 0.4502 0.0000
10.9939 3.4601 1.5444
```

Computed properties:
**Raw total energy**: -3.17 eV/atom
**Crystal system**: tetragonal
**D(E_F)**: 0.527 states/eV/atom
**Total magnetic moment**: 0.0 μB per formula unit
**ΔH_f (0 K)**: -0.11 eV per atom
**SG**: I4_1/amd, No. 141



(4)
DFT (PBE-GGA) results for a relaxed structure of GeHPd3.

```
GeHPd3
1.0
-2.0208 -1.6356 -3.8670
3.7756 -2.5854 -0.8795
-1.8368 -3.5147 2.4465
Pd Ge H
3 1 1
Cartesian
-1.0104 -0.8178 -1.9335
-0.9184 -1.7574 1.2232
1.8878 -1.2927 -0.4397
0.0000 0.0000 0.0000
-0.0410 -3.8679 -1.1500
```

Computed properties:
**Raw total energy**: -3.89 eV/atom
**ΔE to the lowest computed polymorph**: 547 kJ/mol of formula units
**Crystal system**: cubic
**D(E_F)**: 1.417 states/eV/atom
**Total magnetic moment**: 0.0 μB per formula unit
**SG**: Pm-3m, No. 221



(5)
DFT (PBE-GGA) results for a relaxed structure of CuHgPb2.

```
CuHgPb2
1.0
5.2115 -0.0068 -0.1410
-0.7419 5.1584 -0.1410
0.1001 0.1153 3.7340
Hg Pb Cu
1 2 1
Cartesian
-0.3209 2.6368 1.7965
2.2348 2.5758 -0.1410
0.0000 0.0000 0.0000
2.6558 0.0542 1.7965
```

Computed properties:
**Raw total energy**: -2.71 eV/atom
**Crystal system**: orthorhombic
**D(E_F)**: 0.316 states/eV/atom
**Total magnetic moment**: 0.0 μB per formula unit
**ΔH_f (0 K)**: 0.24 eV per atom
**SG**: Cmmm, No. 65



(6)
DFT (PBE-GGA) results for a relaxed structure of InCuN2O.

```
InCuN2O
1.0
-0.7588 -3.4430 -1.4145
1.9063 -1.5993 2.8704
-3.4744 -0.1483 2.2249
N Cu In O
2 1 1 1
Cartesian
-0.3794 -1.7215 -0.7072
0.9532 -0.7997 1.4352
0.0000 0.0000 0.0000
-1.1634 -2.5953 1.8404
-1.7372 -0.0742 1.1124
```

Computed properties:
**Raw total energy**: -4.67 eV/atom
**Crystal system**: tetragonal
**D(E_F)**: 0.774 states/eV/atom
**Total magnetic moment**: 2.2 μB per formula unit
**SG**: P4/mmm, No. 123



| no. | volume (Å³ per atom) |
| --- | --- |
| 1 | 33.21 |
| 2 | 27.11 |
| 3 | 27.89 |
| 4 | 20.23 |
| 5 | 25.13 |
| 6 | 11.92 |